Entry 1:
Computed, not measured: crystalline Mg2TaPb at its relaxed geometry at the PBE level of DFT.

```
Mg2TaPb
1.0
-1.939 -1.070 2.100
2.199 0.158 2.111
-2.725 9.161 2.154
Ta Pb Mg
1 1 2
Cartesian
-1.963 6.580 3.760
-1.425 4.791 1.126
-2.683 9.020 2.121
-0.481 1.597 2.588
```

Computed properties:
SG   No. 99


Entry 2:
Computed, not measured: crystalline MgTaPb2 at its relaxed geometry at the PBE level of DFT.

```
MgTaPb2
1.0
5.442 -0.007 -0.025
4.522 3.029 -0.025
0.752 0.228 5.706
Mg Pb Ta
1 2 1
Cartesian
2.679 0.812 1.414
0.829 0.251 5.635
5.281 1.601 2.898
8.037 2.437 4.242
```

Computed properties:
SG   No. 12


Entry 3:
Computed, not measured: crystalline Mg2TaPb at its relaxed geometry at the PBE level of DFT.

```
Mg2TaPb
1.0
-5.660 -1.324 1.716
-3.546 -3.609 -3.336
5.102 0.757 3.183
Mg Ta Pb
2 1 1
Cartesian
-4.496 -2.410 -0.792
-0.107 -0.057 -0.019
-1.523 -2.660 -0.482
-2.581 -1.517 2.044
```

Computed properties:
SG   No. 71


V (computed, Å³/cell): 91.25 94.30 85.32
Electronic total energy (computed, eV/atom): -4.382 -4.786 -4.372
Formation energy (computed, kJ/mol of formula units): 118 166 122